First-principles (GGA-PBE) data for a relaxed BaInMoPt2 crystal, as listed in the Alexandria database.

a = 5.1624 Å, b = 5.1600 Å, c = 5.1624 Å
α = 90.00°, β = 90.00°, γ = 90.00°
Atoms (fractional coordinates):
1 In 0.0000 0.0000 0.0000
2 Pt 0.0000 0.0000 0.5000
3 Ba 0.5000 0.5000 0.5000
4 Mo 0.0000 0.5000 0.0000
5 Pt 0.5000 0.0000 0.0000

Calculated density (g cm⁻³): 8.915
Total energy (eV per atom): -4.8464
DOS at the Fermi energy (states/eV/cell): 3.78
Space group: P4/mmm
M_tot (μB per cell): 3.4



First-principles (GGA-PBE) data for a relaxed BaInRe2Mo crystal, as listed in the Alexandria database.

a = 4.8055 Å, b = 5.8126 Å, c = 4.8055 Å
α = 90.00°, β = 90.00°, γ = 90.00°
Atoms (fractional coordinates):
1 Re 0.5000 0.0000 0.0000
2 Mo 0.0000 0.0000 0.0000
3 In 0.5000 0.5000 0.5000
4 Ba 0.0000 0.5000 0.0000
5 Re 0.0000 0.0000 0.5000

Calculated density (g cm⁻³): 8.913
Total energy (eV per atom): -6.4520
DOS at the Fermi energy (states/eV/cell): 5.97
Space group: P4/mmm
M_tot (μB per cell): 0.0



First-principles (GGA-PBE) data for a relaxed BaInN2 crystal, as listed in the Alexandria database.

a = 7.1468 Å, b = 7.1468 Å, c = 7.1468 Å
α = 29.80°, β = 29.80°, γ = 29.80°
Atoms (fractional coordinates):
1 Ba 0.0000 0.0000 0.0000
2 N 0.8839 0.8839 0.8839
3 In 0.5000 0.5000 0.5000
4 N 0.1161 0.1161 0.1161

Calculated density (g cm⁻³): 5.826
Total energy (eV per atom): -4.5006
DOS at the Fermi energy (states/eV/cell): 3.34
Space group: R-3m
M_tot (μB per cell): 0.3
Formation energy (no corrections) (eV per formula unit): 3.31



First-principles (GGA-PBE) data for a relaxed Ba7InN2 crystal, as listed in the Alexandria database.

a = 4.3339 Å, b = 11.7082 Å, c = 11.7083 Å
α = 133.49°, β = 90.00°, γ = 90.00°
Atoms (fractional coordinates):
1 Ba 0.5000 0.6719 0.9076
2 Ba 0.0000 0.6990 0.3010
3 Ba 0.5000 0.9076 0.6719
4 Ba 0.5000 0.3281 0.0924
5 Ba 0.5000 0.0924 0.3281
6 N 0.5000 0.3739 0.6261
7 N 0.5000 0.6261 0.3739
8 Ba 0.0000 0.3010 0.6990
9 In 0.0000 0.0000 0.0000
10 Ba 0.5000 0.5000 0.5000

Calculated density (g cm⁻³): 4.253
Total energy (eV per atom): -3.4983
DOS at the Fermi energy (states/eV/cell): 7.82
Space group: Cmmm
M_tot (μB per cell): 0.0
Formation energy (no corrections) (eV per formula unit): -2.13



First-principles (GGA-PBE) data for a relaxed Ba6In5N crystal, as listed in the Alexandria database.

a = 15.6876 Å, b = 15.6876 Å, c = 15.6876 Å
α = 30.78°, β = 30.78°, γ = 30.78°
Atoms (fractional coordinates):
1 N 0.5000 0.5000 0.5000
2 Ba 0.7467 0.2814 0.8669
3 N 0.0000 0.0000 0.0000
4 Ba 0.7814 0.2467 0.3669
5 Ba 0.2186 0.7533 0.6331
6 In 0.4664 0.0336 0.2500
7 In 0.9664 0.7500 0.5336
8 In 0.3067 0.3067 0.3067
9 Ba 0.1331 0.2533 0.7186
10 Ba 0.7533 0.6331 0.2186
11 Ba 0.6331 0.2186 0.7533
12 Ba 0.2467 0.3669 0.7814
13 Ba 0.3669 0.7814 0.2467
14 In 0.6933 0.6933 0.6933
15 In 0.0336 0.2500 0.4664
16 In 0.2500 0.4664 0.0336
17 Ba 0.2814 0.8669 0.7467
18 Ba 0.8669 0.7467 0.2814
19 In 0.8067 0.8067 0.8067
20 In 0.7500 0.5336 0.9664
21 Ba 0.2533 0.7186 0.1331
22 Ba 0.7186 0.1331 0.2533
23 In 0.1933 0.1933 0.1933
24 In 0.5336 0.9664 0.7500

Calculated density (g cm⁻³): 5.231
Total energy (eV per atom): -3.2486
DOS at the Fermi energy (states/eV/cell): 18.11
Space group: R-3c
M_tot (μB per cell): 0.0
Formation energy (no corrections) (eV per formula unit): -5.43



First-principles (GGA-PBE) data for a relaxed Ba3InN crystal, as listed in the Alexandria database.

a = 6.9555 Å, b = 8.1912 Å, c = 7.8353 Å
α = 121.51°, β = 99.14°, γ = 90.00°
Atoms (fractional coordinates):
1 In 0.2671 0.3565 0.7129
2 Ba 0.7154 0.6919 0.8333
3 Ba 0.2846 0.8586 0.1667
4 Ba 0.8159 0.1564 0.3128
5 Ba 0.7154 0.1414 0.8333
6 N 0.0000 0.0000 0.0000
7 Ba 0.2846 0.3081 0.1667
8 Ba 0.1841 0.8436 0.6872
9 In 0.7329 0.6435 0.2871
10 N 0.5000 0.0000 0.0000

Calculated density (g cm⁻³): 4.804
Total energy (eV per atom): -3.7697
DOS at the Fermi energy (states/eV/cell): 10.48
Space group: C2/m
M_tot (μB per cell): 0.0
Formation energy (no corrections) (eV per formula unit): -2.02



First-principles (GGA-PBE) data for a relaxed Ba4InN crystal, as listed in the Alexandria database.

a = 5.8258 Å, b = 8.8996 Å, c = 12.1721 Å
α = 93.85°, β = 90.00°, γ = 109.11°
Atoms (fractional coordinates):
1 Ba 0.5862 0.1724 0.6797
2 In 0.7732 0.5463 0.8074
3 Ba 0.1414 0.2829 0.9149
4 Ba 0.4138 0.8276 0.3203
5 N 0.9110 0.8220 0.2907
6 In 0.2268 0.4537 0.1926
7 Ba 0.7642 0.5284 0.3577
8 N 0.0890 0.1780 0.7093
9 Ba 0.8586 0.7171 0.0851
10 Ba 0.9415 0.8831 0.6440
11 Ba 0.0585 0.1169 0.3560
12 Ba 0.2358 0.4716 0.6423

Calculated density (g cm⁻³): 3.786
Total energy (eV per atom): -3.2891
DOS at the Fermi energy (states/eV/cell): 14.02
Space group: C2/m
M_tot (μB per cell): 0.0
Formation energy (no corrections) (eV per formula unit): -0.98
Offset from the most stable computed form (eV per atom): 0.160



First-principles (GGA-PBE) data for a relaxed Ba4InN crystal, as listed in the Alexandria database.

a = 5.6613 Å, b = 7.9555 Å, c = 11.2482 Å
α = 90.00°, β = 104.58°, γ = 90.00°
Atoms (fractional coordinates):
1 Ba 0.4178 0.2500 0.8355
2 Ba 0.8251 0.0003 0.6503
3 Ba 0.1749 0.5003 0.3497
4 Ba 0.8251 0.4997 0.6503
5 Ba 0.5822 0.7500 0.1645
6 In 0.5964 0.2500 0.1928
7 Ba 0.0000 0.5000 0.0000
8 In 0.4036 0.7500 0.8072
9 N 0.0995 0.7500 0.1989
10 N 0.9005 0.2500 0.8010
11 Ba 0.1749 0.9997 0.3497
12 Ba 0.0000 0.0000 0.0000

Calculated density (g cm⁻³): 4.593
Total energy (eV per atom): -3.4496
DOS at the Fermi energy (states/eV/cell): 9.82
Space group: Cmcm
M_tot (μB per cell): 0.6
Formation energy (no corrections) (eV per formula unit): -1.94
Offset from the most stable computed form (eV per atom): 0.000



First-principles (GGA-PBE) data for a relaxed Ba6In2N crystal, as listed in the Alexandria database.

a = 4.5040 Å, b = 7.8129 Å, c = 13.8080 Å
α = 71.93°, β = 80.61°, γ = 73.25°
Atoms (fractional coordinates):
1 Ba 0.8319 0.2330 0.1032
2 N 0.0000 0.0000 0.0000
3 Ba 0.1681 0.7670 0.8968
4 Ba 0.6618 0.2499 0.4264
5 In 0.6502 0.0092 0.6903
6 Ba 0.0410 0.7428 0.1752
7 In 0.3498 0.9908 0.3097
8 Ba 0.3382 0.7501 0.5736
9 Ba 0.9590 0.2572 0.8248

Calculated density (g cm⁻³): 4.021
Total energy (eV per atom): -2.9670
DOS at the Fermi energy (states/eV/cell): 6.59
Space group: C2/m
M_tot (μB per cell): 0.0
Formation energy (no corrections) (eV per formula unit): -1.36
Offset from the most stable computed form (eV per atom): 0.174



First-principles (GGA-PBE) data for a relaxed Ba6In2N crystal, as listed in the Alexandria database.

a = 8.0586 Å, b = 8.0586 Å, c = 8.0600 Å
α = 60.00°, β = 60.00°, γ = 60.01°
Atoms (fractional coordinates):
1 Ba 0.7384 0.7384 0.2623
2 Ba 0.2616 0.2616 0.7377
3 Ba 0.2620 0.7386 0.2613
4 Ba 0.2614 0.7380 0.7387
5 In 0.7500 0.7500 0.7503
6 N 0.5000 0.5000 0.5000
7 Ba 0.7386 0.2620 0.2613
8 Ba 0.7380 0.2614 0.7387
9 In 0.2500 0.2500 0.2497

Calculated density (g cm⁻³): 4.789
Total energy (eV per atom): -3.1410
DOS at the Fermi energy (states/eV/cell): 13.56
Space group: C2/m
M_tot (μB per cell): 0.8
Formation energy (no corrections) (eV per formula unit): -2.93
Offset from the most stable computed form (eV per atom): 0.000



First-principles (GGA-PBE) data for a relaxed BaInN2 crystal, as listed in the Alexandria database.

a = 6.3097 Å, b = 6.3097 Å, c = 5.9630 Å
α = 58.06°, β = 58.06°, γ = 90.00°
Atoms (fractional coordinates):
1 In 0.2500 0.7500 0.5000
2 N 0.3750 0.4452 0.7500
3 N 0.1952 0.6250 0.2500
4 In 0.5000 0.5000 0.0000
5 N 0.8750 0.8048 0.7500
6 N 0.5548 0.1250 0.2500
7 Ba 0.0000 0.0000 0.0000
8 Ba 0.7500 0.2500 0.5000

Calculated density (g cm⁻³): 5.907
Total energy (eV per atom): -5.1988
DOS at the Fermi energy (states/eV/cell): 7.63
Space group: I-42d
M_tot (μB per cell): 2.0
Formation energy (no corrections) (eV per formula unit): 0.52



First-principles (GGA-PBE) data for a relaxed Ba6InN crystal, as listed in the Alexandria database.

a = 7.1926 Å, b = 8.9326 Å, c = 7.3953 Å
α = 52.85°, β = 80.73°, γ = 74.53°
Atoms (fractional coordinates):
1 Ba 0.7662 0.2087 0.3263
2 N 0.5000 0.5000 0.0000
3 Ba 0.7662 0.5350 0.6737
4 In 0.0000 0.0000 0.0000
5 Ba 0.2338 0.7913 0.6737
6 Ba 0.2338 0.4650 0.3263
7 Ba 0.6105 0.7765 0.0000
8 Ba 0.3895 0.2235 0.0000

Calculated density (g cm⁻³): 4.335
Total energy (eV per atom): -3.0241
DOS at the Fermi energy (states/eV/cell): 9.71
Space group: C2/m
M_tot (μB per cell): 0.0
Formation energy (no corrections) (eV per formula unit): -1.59



First-principles (GGA-PBE) data for a relaxed Ba3InN crystal, as listed in the Alexandria database.

a = 8.7416 Å, b = 7.2847 Å, c = 8.0346 Å
α = 83.16°, β = 55.02°, γ = 73.36°
Atoms (fractional coordinates):
1 N 0.2489 0.3285 0.8037
2 Ba 0.9579 0.2142 0.8921
3 Ba 0.3834 0.2791 0.0191
4 Ba 0.4687 0.9821 0.5868
5 In 0.8445 0.4873 0.5373
6 Ba 0.9999 0.6743 0.9970
7 Ba 0.0430 0.9173 0.4599
8 Ba 0.4266 0.5221 0.4820
9 N 0.1776 0.8678 0.6753
10 In 0.5814 0.7095 0.9423

Calculated density (g cm⁻³): 4.479
Total energy (eV per atom): -3.7318
DOS at the Fermi energy (states/eV/cell): 6.92
Space group: P-1
M_tot (μB per cell): 0.0
Formation energy (no corrections) (eV per formula unit): -1.83



First-principles (GGA-PBE) data for a relaxed Ba8InN2 crystal, as listed in the Alexandria database.

a = 7.6203 Å, b = 9.8513 Å, c = 9.8513 Å
α = 58.30°, β = 84.05°, γ = 84.05°
Atoms (fractional coordinates):
1 Ba 0.7632 0.6812 0.6812
2 Ba 0.7055 0.1755 0.1755
3 Ba 0.2368 0.3188 0.3188
4 N 0.3688 0.1806 0.1806
5 Ba 0.7321 0.1018 0.6831
6 Ba 0.2679 0.8982 0.3169
7 Ba 0.7321 0.6831 0.1018
8 Ba 0.2679 0.3169 0.8982
9 In 0.0000 0.0000 0.0000
10 Ba 0.2945 0.8245 0.8245
11 N 0.6312 0.8194 0.8194

Calculated density (g cm⁻³): 3.300
Total energy (eV per atom): -3.3933
DOS at the Fermi energy (states/eV/cell): 9.44
Space group: C2/m
M_tot (μB per cell): 0.0
Formation energy (no corrections) (eV per formula unit): -2.56



First-principles (GGA-PBE) data for a relaxed BaIn3N crystal, as listed in the Alexandria database.

a = 6.4672 Å, b = 6.4672 Å, c = 6.4672 Å
α = 90.00°, β = 90.00°, γ = 90.00°
Atoms (fractional coordinates):
1 Ba 0.0000 0.0000 0.0000
2 In 0.0000 0.5000 0.0000
3 N 0.5000 0.5000 0.5000
4 In 0.5000 0.0000 0.0000
5 In 0.0000 0.0000 0.5000

Calculated density (g cm⁻³): 3.044
Total energy (eV per atom): -1.7077
DOS at the Fermi energy (states/eV/cell): 11.12
Space group: Pm-3m
M_tot (μB per cell): 0.0
Formation energy (no corrections) (eV per formula unit): 9.92
Offset from the most stable computed form (eV per atom): 1.619



First-principles (GGA-PBE) data for a relaxed Ba3In2N4 crystal, as listed in the Alexandria database.

a = 7.7894 Å, b = 9.6730 Å, c = 6.3925 Å
α = 90.00°, β = 91.59°, γ = 128.38°
Atoms (fractional coordinates):
1 N 0.7615 0.6974 0.9900
2 In 0.4156 0.5904 0.9112
3 Ba 0.0000 0.6026 0.7500
4 N 0.2385 0.3026 0.0100
5 N 0.3281 0.7440 0.0729
6 Ba 0.7646 0.0225 0.9343
7 Ba 0.7646 0.7421 0.4343
8 In 0.5844 0.1748 0.5888
9 In 0.5844 0.4096 0.0888
10 N 0.2385 0.9358 0.5100
11 N 0.3281 0.5841 0.5729
12 Ba 0.2354 0.2579 0.5657
13 N 0.7615 0.0642 0.4900
14 Ba 0.2354 0.9775 0.0657
15 N 0.6719 0.4159 0.4271
16 N 0.6719 0.2560 0.9271
17 Ba 0.0000 0.3974 0.2500
18 In 0.4156 0.8252 0.4112

Calculated density (g cm⁻³): 6.140
Total energy (eV per atom): -5.1695
Space group: C2/c
M_tot (μB per cell): 0.0
Formation energy (no corrections) (eV per formula unit): -1.98



First-principles (GGA-PBE) data for a relaxed Ba6In3N crystal, as listed in the Alexandria database.

a = 9.4312 Å, b = 9.4312 Å, c = 9.4312 Å
α = 92.80°, β = 92.80°, γ = 92.80°
Atoms (fractional coordinates):
1 Ba 0.5152 0.7944 0.5152
2 In 0.8893 0.4652 0.8893
3 Ba 0.9063 0.1971 0.1971
4 N 0.5000 0.5000 0.5000
5 In 0.4652 0.8893 0.8893
6 Ba 0.8029 0.0937 0.8029
7 Ba 0.2056 0.4848 0.4848
8 In 0.8893 0.8893 0.4652
9 In 0.5348 0.1107 0.1107
10 Ba 0.7944 0.5152 0.5152
11 Ba 0.4848 0.2056 0.4848
12 Ba 0.0937 0.8029 0.8029
13 Ba 0.4848 0.4848 0.2056
14 Ba 0.8029 0.8029 0.0937
15 N 0.0000 0.0000 0.0000
16 Ba 0.1971 0.1971 0.9063
17 In 0.1107 0.1107 0.5348
18 Ba 0.1971 0.9063 0.1971
19 Ba 0.5152 0.5152 0.7944
20 In 0.1107 0.5348 0.1107

Calculated density (g cm⁻³): 4.698
Total energy (eV per atom): -3.0930
DOS at the Fermi energy (states/eV/cell): 19.16
Space group: R-3m
M_tot (μB per cell): 0.0
Formation energy (no corrections) (eV per formula unit): -2.85



First-principles (GGA-PBE) data for a relaxed BaIn3N crystal, as listed in the Alexandria database.

a = 5.1258 Å, b = 5.1258 Å, c = 5.1258 Å
α = 90.00°, β = 90.00°, γ = 90.00°
Atoms (fractional coordinates):
1 In 0.0000 0.0000 0.5000
2 In 0.5000 0.0000 0.0000
3 Ba 0.5000 0.5000 0.5000
4 N 0.0000 0.0000 0.0000
5 In 0.0000 0.5000 0.0000

Calculated density (g cm⁻³): 6.113
Total energy (eV per atom): -3.3265
DOS at the Fermi energy (states/eV/cell): 4.62
Space group: Pm-3m
M_tot (μB per cell): 0.6
Formation energy (no corrections) (eV per formula unit): 1.83
Offset from the most stable computed form (eV per atom): 0.000



First-principles (GGA-PBE) data for a relaxed Ba8In2N crystal, as listed in the Alexandria database.

a = 6.4068 Å, b = 7.5365 Å, c = 10.8271 Å
α = 109.96°, β = 107.21°, γ = 90.00°
Atoms (fractional coordinates):
1 N 0.5000 0.0000 0.0000
2 Ba 0.7774 0.7304 0.5547
3 In 0.1729 0.6978 0.3457
4 Ba 0.6242 0.9331 0.2483
5 Ba 0.0159 0.7749 0.0318
6 Ba 0.4135 0.6410 0.8271
7 Ba 0.5865 0.3590 0.1729
8 Ba 0.2226 0.2696 0.4453
9 Ba 0.9841 0.2251 0.9682
10 Ba 0.3758 0.0669 0.7517
11 In 0.8271 0.3022 0.6543

Calculated density (g cm⁻³): 4.779
Total energy (eV per atom): -2.7772
DOS at the Fermi energy (states/eV/cell): 10.10
Space group: C2/m
M_tot (μB per cell): 0.0
Formation energy (no corrections) (eV per formula unit): -1.36



First-principles (GGA-PBE) data for a relaxed BaInN2 crystal, as listed in the Alexandria database.

a = 7.0820 Å, b = 7.0820 Å, c = 7.0820 Å
α = 35.11°, β = 35.11°, γ = 35.11°
Atoms (fractional coordinates):
1 N 0.9012 0.9012 0.9012
2 Ba 0.5000 0.5000 0.5000
3 N 0.0988 0.0988 0.0988
4 In 0.0000 0.0000 0.0000

Calculated density (g cm⁻³): 4.434
Total energy (eV per atom): -4.9516
DOS at the Fermi energy (states/eV/cell): 2.78
Space group: R-3m
M_tot (μB per cell): 1.0
Formation energy (no corrections) (eV per formula unit): 1.51



First-principles (GGA-PBE) data for a relaxed Ba2NaInN crystal, as listed in the Alexandria database.

a = 5.6805 Å, b = 4.8800 Å, c = 5.6805 Å
α = 90.00°, β = 90.00°, γ = 90.00°
Atoms (fractional coordinates):
1 Na 0.0000 0.5000 0.0000
2 Ba 0.0000 0.0000 0.5000
3 Ba 0.5000 0.0000 0.0000
4 In 0.5000 0.5000 0.5000
5 N 0.0000 0.0000 0.0000

Calculated density (g cm⁻³): 4.497
Total energy (eV per atom): -3.3757
DOS at the Fermi energy (states/eV/cell): 6.75
Space group: P4/mmm
M_tot (μB per cell): 0.0
Formation energy (no corrections) (eV per formula unit): -0.65



First-principles (GGA-PBE) data for a relaxed BaInN2O crystal, as listed in the Alexandria database.

a = 4.3923 Å, b = 4.3923 Å, c = 4.4059 Å
α = 90.00°, β = 90.00°, γ = 90.00°
Atoms (fractional coordinates):
1 In 0.0000 0.0000 0.0000
2 Ba 0.5000 0.5000 0.5000
3 O 0.0000 0.0000 0.5000
4 N 0.0000 0.5000 0.0000
5 N 0.5000 0.0000 0.0000

Calculated density (g cm⁻³): 5.786
Total energy (eV per atom): -5.2381
DOS at the Fermi energy (states/eV/cell): 2.21
Space group: P4/mmm
M_tot (μB per cell): 3.0
Formation energy (no corrections) (eV per formula unit): 0.08